# NpURu4 | Alexandria | GGA-PBE | optimized geometry
data_NpURu4
_symmetry_space_group_name_H-M 'F -4 3 m'
_symmetry_Int_Tables_number 216
_symmetry_space_group_name_Hall 'F -4 2 3'
_cell_length_a 7.467
_cell_length_b 7.467
_cell_length_c 7.467
_cell_angle_alpha 90.00
_cell_angle_beta 90.00
_cell_angle_gamma 90.00
loop_
_atom_site_label
_atom_site_type_symbol
_atom_site_fract_x
_atom_site_fract_y
_atom_site_fract_z
Np1 Np 0.000 0.000 0.000
U1 U 0.250 0.250 0.750
Ru1 Ru 0.125 0.125 0.375
# * N(E_F): 2.381 states/eV/atom
# * calculated formation energy: -0.36 eV per formula unit
# * polymorph energy (0 for the lowest one): 0.000 eV per atom
# * E: -246.78 eV/cell


# NpURu4 | Alexandria | GGA-PBE | optimized geometry
data_NpURu4
_symmetry_space_group_name_H-M 'C 1 2/m 1'
_symmetry_Int_Tables_number 12
_symmetry_space_group_name_Hall '-C 2y'
_cell_length_a 8.518
_cell_length_b 3.722
_cell_length_c 7.437
_cell_angle_alpha 90.00
_cell_angle_beta 115.27
_cell_angle_gamma 90.00
loop_
_atom_site_label
_atom_site_type_symbol
_atom_site_fract_x
_atom_site_fract_y
_atom_site_fract_z
Np1 Np 0.000 0.000 0.000
U1 U 0.000 0.000 0.500
Ru1 Ru 0.187 0.500 0.842
Ru2 Ru 0.188 0.500 0.347
# * N(E_F): 1.829 states/eV/atom
# * calculated formation energy: 0.10 eV per formula unit
# * polymorph energy (0 for the lowest one): 0.078 eV per atom
# * E: -122.46 eV/cell


# NpU2Ru9 | Alexandria | GGA-PBE | optimized geometry
data_NpU2Ru9
_symmetry_space_group_name_H-M 'P 4/m m m'
_symmetry_Int_Tables_number 123
_symmetry_space_group_name_Hall '-P 4 2'
_cell_length_a 3.990
_cell_length_b 3.990
_cell_length_c 11.972
_cell_angle_alpha 90.00
_cell_angle_beta 90.00
_cell_angle_gamma 90.00
loop_
_atom_site_label
_atom_site_type_symbol
_atom_site_fract_x
_atom_site_fract_y
_atom_site_fract_z
Np1 Np 0.000 0.000 0.000
U1 U 0.000 0.000 0.333
Ru1 Ru 0.000 0.500 0.164
Ru2 Ru 0.000 0.500 0.500
Ru3 Ru 0.500 0.500 0.000
Ru4 Ru 0.500 0.500 0.332
# * N(E_F): 1.239 states/eV/atom
# * calculated formation energy: -2.91 eV per formula unit
# * E: -121.91 eV/cell


# Np2U4Ru3 | Alexandria | GGA-PBE | optimized geometry
data_Np2U4Ru3
_symmetry_space_group_name_H-M 'C 1 2/c 1'
_symmetry_Int_Tables_number 15
_symmetry_space_group_name_Hall '-C 2yc'
_cell_length_a 12.686
_cell_length_b 9.648
_cell_length_c 5.434
_cell_angle_alpha 90.00
_cell_angle_beta 92.72
_cell_angle_gamma 90.00
loop_
_atom_site_label
_atom_site_type_symbol
_atom_site_fract_x
_atom_site_fract_y
_atom_site_fract_z
Np1 Np 0.238 0.128 0.077
U1 U 0.055 0.383 0.976
U2 U 0.124 0.099 0.674
Ru1 Ru 0.000 0.143 0.250
Ru2 Ru 0.158 0.344 0.444
# * N(E_F): 2.134 states/eV/atom
# * calculated formation energy: -1.40 eV per formula unit
# * E: -401.03 eV/cell